(1)
! PuCd2In2Hg2 | Alexandria | PBE | relaxed; values from VASP
! energy of formation from the pure elements	-78	meV per atom
! DFT total energy	-3.256	eV per atom
! crystal system	trigonal
&SYSTEM
  ibrav = 0, nat = 7, ntyp = 4
/
ATOMIC_SPECIES
Hg 200.59 Hg.upf
In 114.82 In.upf
Cd 112.41 Cd.upf
Pu 244.00 Pu.upf
ATOMIC_POSITIONS crystal
Hg 0.388 0.388 0.837
Hg 0.612 0.612 0.163
In 0.132 0.132 0.603
In 0.868 0.868 0.397
Cd 0.252 0.252 0.244
Cd 0.748 0.748 0.756
Pu 0.000 0.000 0.000
CELL_PARAMETERS angstrom
5.004 0.000 0.000
2.502 4.334 0.000
2.502 1.445 8.414

(2)
! Dy4ZnPt | Alexandria | PBE | relaxed; values from VASP
! energy of formation from the pure elements	-584	meV per atom
! DFT total energy	-4.871	eV per atom
! crystal system	cubic
! ΔE to the lowest computed polymorph	0.000	eV/atom
&SYSTEM
  ibrav = 0, nat = 24, ntyp = 3
/
ATOMIC_SPECIES
Zn 65.41 Zn.upf
Dy 162.50 Dy.upf
Pt 195.08 Pt.upf
ATOMIC_POSITIONS crystal
Zn 0.169 0.169 0.169
Zn 0.493 0.169 0.169
Zn 0.169 0.169 0.493
Zn 0.169 0.493 0.169
Dy 0.392 0.392 0.392
Dy 0.941 0.941 0.559
Dy 0.815 0.185 0.185
Dy 0.815 0.185 0.815
Dy 0.185 0.815 0.815
Dy 0.559 0.941 0.559
Dy 0.824 0.392 0.392
Dy 0.185 0.815 0.185
Dy 0.941 0.559 0.941
Dy 0.815 0.815 0.185
Dy 0.941 0.559 0.559
Dy 0.185 0.185 0.815
Dy 0.559 0.941 0.941
Dy 0.392 0.392 0.824
Dy 0.559 0.559 0.941
Dy 0.392 0.824 0.392
Pt 0.185 0.605 0.605
Pt 0.605 0.605 0.185
Pt 0.605 0.605 0.605
Pt 0.605 0.185 0.605
CELL_PARAMETERS angstrom
8.262 0.000 4.770
2.754 7.789 4.770
0.000 0.000 9.540

(3)
! ScVCd2C | Alexandria | PBE | relaxed; values from VASP
! energy of formation from the pure elements	635	meV per atom
! DFT total energy	-4.666	eV per atom
! crystal system	tetragonal
&SYSTEM
  ibrav = 0, nat = 5, ntyp = 4
/
ATOMIC_SPECIES
V 50.94 V.upf
Cd 112.41 Cd.upf
Sc 44.96 Sc.upf
C 12.01 C.upf
ATOMIC_POSITIONS crystal
V 0.500 0.500 0.500
Cd 0.000 0.000 0.500
Cd 0.500 0.000 0.000
Sc 0.000 0.500 0.000
C 0.000 0.000 0.000
CELL_PARAMETERS angstrom
4.584 0.000 0.000
0.000 4.437 0.000
0.000 0.000 4.584

(4)
! NdCdPd6 | Alexandria | PBE | relaxed; values from VASP
! energy of formation from the pure elements	-327	meV per atom
! DFT total energy	-4.932	eV per atom
! crystal system	cubic
! ΔE to the lowest computed polymorph	0.163	eV/atom
&SYSTEM
  ibrav = 0, nat = 8, ntyp = 3
/
ATOMIC_SPECIES
Pd 106.42 Pd.upf
Nd 144.24 Nd.upf
Cd 112.41 Cd.upf
ATOMIC_POSITIONS crystal
Pd 0.754 0.000 0.500
Pd 0.246 0.000 0.500
Pd 0.000 0.500 0.246
Pd 0.500 0.754 0.000
Pd 0.500 0.246 0.000
Pd 0.000 0.500 0.754
Nd 0.500 0.500 0.500
Cd 0.000 0.000 0.000
CELL_PARAMETERS angstrom
5.247 0.000 0.000
0.000 5.247 0.000
0.000 0.000 5.247

> Which formula does entry 1 have?

PuCd2In2Hg2

What did the third record say?
! ScVCd2C | Alexandria | PBE | relaxed; values from VASP
! energy of formation from the pure elements	635	meV per atom
! DFT total energy	-4.666	eV per atom
! crystal system	tetragonal
&SYSTEM
  ibrav = 0, nat = 5, ntyp = 4
/
ATOMIC_SPECIES
V 50.94 V.upf
Cd 112.41 Cd.upf
Sc 44.96 Sc.upf
C 12.01 C.upf
ATOMIC_POSITIONS crystal
V 0.500 0.500 0.500
Cd 0.000 0.000 0.500
Cd 0.500 0.000 0.000
Sc 0.000 0.500 0.000
C 0.000 0.000 0.000
CELL_PARAMETERS angstrom
4.584 0.000 0.000
0.000 4.437 0.000
0.000 0.000 4.584